The following is a DFT calculation (meta-GGA SCAN) of SrAl2W at its PBEsol-relaxed geometry.

Cell and atoms, written as POSCAR:
```
SrAl2W
1.0
-2.209 2.209 3.925
2.209 -2.209 3.925
2.209 2.209 -3.925
Sr Al W
1 2 1
Direct
0.000 0.000 0.000
0.250 0.750 0.500
0.750 0.250 0.500
0.500 0.500 0.000
```

Properties
calculated formation energy: 639 meV/atom
SG: I4/mmm, No. 139
crystal system: tetragonal
energy above the most stable polymorph in this dataset: 474 meV per atom


The following is a DFT calculation (meta-GGA SCAN) of LiCd2F at its PBEsol-relaxed geometry.

Cell and atoms, written as POSCAR:
```
LiCd2F
1.0
0.000 3.285 3.285
3.285 0.000 3.285
3.285 3.285 0.000
Li Cd F
1 2 1
Direct
0.000 0.000 0.000
0.250 0.250 0.250
0.750 0.750 0.750
0.500 0.500 0.500
```

Properties
SG: Fm-3m, No. 225
crystal system: cubic
E_form (uncorrected): -589 meV/atom


The following is a DFT calculation (meta-GGA SCAN) of NiOs3 at its PBEsol-relaxed geometry.

Cell and atoms, written as POSCAR:
```
NiOs3
1.0
4.226 2.440 0.879
-4.226 2.440 0.879
0.000 -4.880 0.879
Ni Os
1 3
Direct
0.000 0.000 0.000
0.000 0.500 0.500
0.500 0.000 0.500
0.500 0.500 0.000
```

Properties
calculated formation energy: 737 meV/atom
SG: R-3m, No. 166
crystal system: trigonal